[1]
Entry from Alexandria via LeMat-Bulk: a geometry-optimized CuRe2Rh structure (PBE-GGA).

abc: 4.3217 4.3217 4.3217
angles: 60.00 60.00 60.00
With the nearest neighbours (Å) after each atom.
Atoms (fractional coordinates):
Cu 0.0000 0.0000 0.0000  8 Re 2.65
Re 0.2500 0.2500 0.2500  4 Rh 2.65, 4 Cu 2.65
Re 0.7500 0.7500 0.7500  4 Rh 2.65, 4 Cu 2.65
Rh 0.5000 0.5000 0.5000  8 Re 2.65

Distance to the lowest polymorph of the same formula in meV/atom: 497
ΔE_f in eV per atom: 0.59
Uncorrected energy in eV per atom: -8.498
Magnetic moment in μB/cell: 0.6

[2]
Entry from Alexandria via LeMat-Bulk: a geometry-optimized CuRe2Rh structure (PBE-GGA).

abc: 2.6698 2.6698 7.8820
angles: 90.00 90.00 90.00
With the nearest neighbours (Å) after each atom.
Atoms (fractional coordinates):
Cu 0.0000 0.0000 0.0000  4 Cu 2.67, 8 Re 2.71
Re 0.5000 0.5000 0.2460  4 Re 2.67, 4 Cu 2.71, 4 Rh 2.75
Re 0.5000 0.5000 0.7540  4 Re 2.67, 4 Cu 2.71, 4 Rh 2.75
Rh 0.0000 0.0000 0.5000  4 Rh 2.67, 8 Re 2.75

Distance to the lowest polymorph of the same formula in meV/atom: 82
ΔE_f in eV per atom: 0.17
Uncorrected energy in eV per atom: -8.914
Magnetic moment in μB/cell: 0.0

[3]
Entry from Alexandria via LeMat-Bulk: a geometry-optimized CuReRh2 structure (PBE-GGA).

abc: 5.5387 5.5387 5.5387
angles: 103.54 103.54 122.12
With the nearest neighbours (Å) after each atom.
Atoms (fractional coordinates):
Cu 0.0000 0.0000 0.0000  4 Rh 2.61, 2 Re 2.68
Cu 0.7500 0.2500 0.5000  4 Rh 2.61, 2 Re 2.68
Re 0.2500 0.7500 0.5000  4 Rh 2.42, 2 Cu 2.68
Re 0.5000 0.5000 0.0000  4 Rh 2.42, 2 Cu 2.68
Rh 0.1454 0.6250 0.0204  2 Re 2.42, 2 Cu 2.61, 2 Rh 2.69
Rh 0.3750 0.3954 0.5204  2 Re 2.42, 2 Cu 2.61, 2 Rh 2.69
Rh 0.6046 0.1250 0.9796  2 Re 2.42, 2 Cu 2.61, 2 Rh 2.69
Rh 0.8750 0.8546 0.4796  2 Re 2.42, 2 Cu 2.61, 2 Rh 2.69

ΔE_f in eV per atom: 0.61
Uncorrected energy in eV per atom: -7.206
Magnetic moment in μB/cell: 0.0

[4]
Entry from Alexandria via LeMat-Bulk: a geometry-optimized Cu2ReRh structure (PBE-GGA).

abc: 2.6251 2.6251 7.7800
angles: 90.00 90.00 90.00
With the nearest neighbours (Å) after each atom.
Atoms (fractional coordinates):
Cu 0.0000 0.0000 0.2475  4 Cu 2.63, 4 Rh 2.67, 4 Re 2.70
Cu 0.0000 0.0000 0.7525  4 Cu 2.63, 4 Rh 2.67, 4 Re 2.70
Re 0.5000 0.5000 0.5000  4 Re 2.63, 8 Cu 2.70
Rh 0.5000 0.5000 0.0000  4 Rh 2.63, 8 Cu 2.67

ΔE_f in eV per atom: 0.25
Uncorrected energy in eV per atom: -6.746
Magnetic moment in μB/cell: 0.2

[5]
Entry from Alexandria via LeMat-Bulk: a geometry-optimized Cu2ReRh structure (PBE-GGA).

abc: 2.7120 2.7120 7.2648
angles: 90.00 90.00 90.00
With the nearest neighbours (Å) after each atom.
Atoms (fractional coordinates):
Cu 0.0000 0.0000 0.0000  8 Cu 2.53-2.71, 4 Rh 2.68
Cu 0.5000 0.5000 0.2270  8 Cu 2.53-2.71, 4 Re 2.70
Re 0.0000 0.0000 0.4879  4 Rh 2.66, 4 Cu 2.70, 4 Re 2.71
Rh 0.5000 0.5000 0.7425  4 Re 2.66, 4 Cu 2.68, 4 Rh 2.71

ΔE_f in eV per atom: 0.07
Uncorrected energy in eV per atom: -6.930
Magnetic moment in μB/cell: 0.0

[6]
Entry from Alexandria via LeMat-Bulk: a geometry-optimized Cu2ReRh structure (PBE-GGA).

abc: 4.5815 4.5815 4.6455
angles: 98.58 98.58 33.93
With the nearest neighbours (Å) after each atom.
Atoms (fractional coordinates):
Cu 0.0000 0.0000 0.0000  5 Cu 2.53-2.67, 4 Rh 2.67-2.69, 3 Re 2.73-2.75
Cu 0.7489 0.7489 0.2063  5 Cu 2.53-2.67, 4 Re 2.67-2.69, 3 Rh 2.75-2.76
Re 0.2482 0.2482 0.7088  3 Rh 2.53-2.61, 7 Cu 2.67-2.75, 2 Re 2.67
Rh 0.4991 0.4991 0.5031  3 Re 2.53-2.61, 7 Cu 2.67-2.76, 2 Rh 2.67

ΔE_f in eV per atom: 0.12
Uncorrected energy in eV per atom: -6.878
Magnetic moment in μB/cell: 0.0

Q: Look up the ΔE_f of the third one.
A: 0.61 eV per atom

What did the fifth record say?
Entry from Alexandria via LeMat-Bulk: a geometry-optimized Cu2ReRh structure (PBE-GGA).

abc: 2.7120 2.7120 7.2648
angles: 90.00 90.00 90.00
With the nearest neighbours (Å) after each atom.
Atoms (fractional coordinates):
Cu 0.0000 0.0000 0.0000  8 Cu 2.53-2.71, 4 Rh 2.68
Cu 0.5000 0.5000 0.2270  8 Cu 2.53-2.71, 4 Re 2.70
Re 0.0000 0.0000 0.4879  4 Rh 2.66, 4 Cu 2.70, 4 Re 2.71
Rh 0.5000 0.5000 0.7425  4 Re 2.66, 4 Cu 2.68, 4 Rh 2.71

ΔE_f in eV per atom: 0.07
Uncorrected energy in eV per atom: -6.930
Magnetic moment in μB/cell: 0.0

Q: Among the records above, which one has the highest magnetic moment?
A: number 1